[1]
Below is Ca3As after structural relaxation, with properties calculated at the PBE level.

Cell: 5.550 5.550 5.550 Å, 60.00 60.00 60.00°
Element x y z (fractional)
Ca  0.500  0.500  0.500
Ca  0.750  0.750  0.750
Ca  0.250  0.250  0.250
As  0.000  0.000  0.000

offset from the most stable computed form	0.419	eV/atom
calculated volume	30.21	Å³ per atom
formation energy from the elements	-18.6	kJ per mole of atoms
SG	Fm-3m, No. 225

[2]
Below is CaAs4 after structural relaxation, with properties calculated at the PBE level.

Cell: 5.488 5.488 5.488 Å, 109.47 109.47 109.47°
Element x y z (fractional)
As  0.500  0.500  0.500
As  0.000  0.500  0.000
As  0.500  0.000  0.000
As  0.000  0.000  0.500
Ca  0.000  0.000  0.000

offset from the most stable computed form	0.526	eV/atom
calculated volume	25.45	Å³ per atom
formation energy from the elements	21.8	kJ per mole of atoms
SG	Im-3m, No. 229

[3]
Below is Ca2As after structural relaxation, with properties calculated at the PBE level.

Cell: 6.580 6.580 6.638 Å, 90.00 90.00 142.79°
Element x y z (fractional)
Ca  0.000  0.000  0.222
Ca  0.282  0.718  0.973
Ca  0.000  0.000  0.722
Ca  0.718  0.282  0.473
As  0.615  0.385  0.972
As  0.385  0.615  0.472

offset from the most stable computed form	0.053	eV/atom
calculated volume	28.96	Å³ per atom
formation energy from the elements	-86.3	kJ per mole of atoms
SG	Cmcm, No. 63